Material: TlInSiS4
Method: DFT, PBE
State: optimized geometry

Computed properties:
- ΔE to the lowest computed polymorph: 0 kJ/mol of formula units
- Symmetry: Pnma, No. 62
- Total moment: 0.000 μB/atom
- Uncorrected formation energy: -0.6153 eV per atom

Cell and atoms, written as POSCAR:
```
TlInSiS4
1.0
16.8771 0.0000 0.0000
0.0000 7.6957 0.0000
0.0000 0.0000 12.6847
Tl In Si S
8 8 8 32
direct
0.0727 0.2500 0.1291
0.1714 0.2500 0.4914
0.3286 0.7500 0.9914
0.4273 0.7500 0.6291
0.5727 0.2500 0.3709
0.6714 0.2500 0.0086
0.8286 0.7500 0.5086
0.9273 0.7500 0.8709
0.1524 0.0076 0.7848
0.1524 0.4924 0.7848
0.3476 0.5076 0.2848
0.3476 0.9924 0.2848
0.6524 0.0076 0.7152
0.6524 0.4924 0.7152
0.8476 0.5076 0.2152
0.8476 0.9924 0.2152
0.0163 0.7500 0.3049
0.1687 0.7500 0.2112
0.3313 0.2500 0.7112
0.4837 0.2500 0.8049
0.5163 0.7500 0.1951
0.6687 0.7500 0.2888
0.8313 0.2500 0.7888
0.9837 0.2500 0.6951
0.0423 0.0168 0.6511
0.0423 0.4832 0.6511
0.0523 0.7500 0.1399
0.1333 0.7500 0.3752
0.1470 0.7500 0.8969
0.1587 0.2500 0.9097
0.2284 0.5198 0.1614
0.2284 0.9802 0.1614
0.2716 0.0198 0.6614
0.2716 0.4802 0.6614
0.3413 0.7500 0.4097
0.3530 0.2500 0.3969
0.3667 0.2500 0.8752
0.4477 0.2500 0.6399
0.4577 0.5168 0.1511
0.4577 0.9832 0.1511
0.5423 0.0168 0.8489
0.5423 0.4832 0.8489
0.5523 0.7500 0.3601
0.6333 0.7500 0.1248
0.6470 0.7500 0.6031
0.6587 0.2500 0.5903
0.7284 0.5198 0.3386
0.7284 0.9802 0.3386
0.7716 0.0198 0.8386
0.7716 0.4802 0.8386
0.8413 0.7500 0.0903
0.8530 0.2500 0.1031
0.8667 0.2500 0.6248
0.9477 0.2500 0.8601
0.9577 0.5168 0.3489
0.9577 0.9832 0.3489
```

***

Material: CaYTaAg2
Method: DFT, PBE
State: optimized geometry

Computed properties:
- Symmetry: P4/mmm, No. 123
- Formation enthalpy at 0 K: 721 meV per atom
- Total moment: 0.000 μB/atom

Cell and atoms, written as POSCAR:
```
CaYTaAg2
1.0
5.3070 0.0000 0.0000
0.0000 5.3070 0.0000
0.0000 0.0000 5.1134
Ca Y Ta Ag
1 1 1 2
direct
0.0000 0.0000 0.0000
0.5000 0.5000 0.0000
0.5000 0.5000 0.5000
0.0000 0.5000 0.5000
0.5000 0.0000 0.5000
```

***

Material: Ac3HoSe6
Method: DFT, PBE
State: optimized geometry

Computed properties:
- ΔE to the lowest computed polymorph: 22 kJ/mol of formula units
- Symmetry: P2_1/c, No. 14
- Total moment: 0.000 μB/atom
- Uncorrected formation energy: -1.9548 eV per atom

Cell and atoms, written as POSCAR:
```
Ac3HoSe6
1.0
7.3701 0.0000 0.0000
0.0000 8.0350 0.0000
-7.0352 0.0000 10.9160
Ac Ho Se
6 2 12
direct
0.0000 0.0000 0.0000
0.0000 0.5000 0.5000
0.2918 0.0928 0.7542
0.2918 0.4072 0.2542
0.7082 0.5928 0.7458
0.7082 0.9072 0.2458
0.5000 0.0000 0.5000
0.5000 0.5000 0.0000
0.1143 0.0574 0.2629
0.1143 0.4426 0.7629
0.2669 0.6804 0.0759
0.2669 0.8196 0.5759
0.4069 0.1948 0.0746
0.4069 0.3052 0.5746
0.5931 0.6948 0.4254
0.5931 0.8052 0.9254
0.7331 0.1804 0.4241
0.7331 0.3196 0.9241
0.8857 0.5574 0.2371
0.8857 0.9426 0.7371
```